1.
A plane-wave DFT calculation with PBE-GGA was carried out for a geometry-optimized TaAs2PtBr structure.

The structure in extended XYZ format:
```
5
Lattice="-4.6078 -1.4993 -0.2433 1.4297 -4.0189 -2.3114 0.5282 -2.3351 4.3868" Properties=species:S:1:pos:R:3 pbc="T T T"
Br 0.2641 -1.1675 2.1934
Pt 0.0000 0.0000 0.0000
Ta -1.3249 -3.9267 0.9161
As 0.7149 -2.0095 -1.1557
As -2.3039 -0.7496 -0.1217
```

space group	No. 123
ΔE_f (raw)	1.0668	eV/atom
E above lowest polymorph	331	meV per atom

---

2.
A plane-wave DFT calculation with PBE-GGA was carried out for a geometry-optimized TaAs2PtBr structure.

The structure in extended XYZ format:
```
5
Lattice="5.0446 0.0000 0.0000 0.0000 5.0446 0.0000 0.0000 0.0000 4.8649" Properties=species:S:1:pos:R:3 pbc="T T T"
Pt 2.5223 2.5223 2.4325
Br 0.0000 0.0000 2.4325
As 0.0000 2.5223 0.0000
As 2.5223 0.0000 0.0000
Ta 0.0000 0.0000 0.0000
```

space group	No. 123
ΔE_f (raw)	0.7361	eV/atom
E above lowest polymorph	0	meV per atom

---

3.
A plane-wave DFT calculation with PBE-GGA was carried out for a geometry-optimized TcAsPtBr2 structure.

The structure in extended XYZ format:
```
5
Lattice="-0.9149 4.6229 1.7095 -4.3602 -1.5699 1.9117 2.1786 -1.0787 4.0832" Properties=species:S:1:pos:R:3 pbc="T T T"
Pt -1.5483 0.9872 3.8522
Tc 0.0000 0.0000 0.0000
Br -0.4575 2.3115 0.8547
As 1.0893 -0.5394 2.0416
Br -2.1801 -0.7849 0.9559
```

space group	No. 123
ΔE_f (raw)	0.9322	eV/atom
E above lowest polymorph	0	meV per atom

---

4.
A plane-wave DFT calculation with PBE-GGA was carried out for a geometry-optimized TiAsPtBr2 structure.

The structure in extended XYZ format:
```
5
Lattice="4.8146 0.0000 0.0000 0.0000 4.8146 0.0000 0.0000 0.0000 5.2955" Properties=species:S:1:pos:R:3 pbc="T T T"
Pt 2.4073 2.4073 2.6478
Br 2.4073 0.0000 0.0000
Ti 0.0000 0.0000 0.0000
As 0.0000 0.0000 2.6478
Br 0.0000 2.4073 0.0000
```

space group	No. 123
ΔE_f (raw)	0.3394	eV/atom
E above lowest polymorph	0	meV per atom

---

5.
A plane-wave DFT calculation with PBE-GGA was carried out for a geometry-optimized TiAsPtBr2 structure.

The structure in extended XYZ format:
```
5
Lattice="-2.7242 1.6084 4.0022 -3.8691 -3.0036 -1.4265 1.8447 -3.6739 2.7321" Properties=species:S:1:pos:R:3 pbc="T T T"
Ti -2.3743 -2.5345 2.6539
As 0.9224 -1.8369 1.3661
Br -1.9345 -1.5018 -0.7133
Pt 0.0000 0.0000 0.0000
Br -1.3621 0.8042 2.0011
```

space group	No. 123
ΔE_f (raw)	0.5760	eV/atom
E above lowest polymorph	237	meV per atom

---

6.
A plane-wave DFT calculation with PBE-GGA was carried out for a geometry-optimized TlAs2PtBr structure.

The structure in extended XYZ format:
```
5
Lattice="4.7105 0.0000 0.0000 0.0000 4.7105 0.0000 0.0000 0.0000 8.8094" Properties=species:S:1:pos:R:3 pbc="T T T"
Tl 2.3553 2.3553 4.4047
Br 0.0000 0.0000 4.4047
As 2.3553 0.0000 0.0000
Pt 0.0000 0.0000 0.0000
As 0.0000 2.3553 0.0000
```

space group	No. 123
ΔE_f (raw)	0.1337	eV/atom
E above lowest polymorph	0	meV per atom

---

7.
A plane-wave DFT calculation with PBE-GGA was carried out for a geometry-optimized TlAs2PtBr structure.

The structure in extended XYZ format:
```
5
Lattice="5.3188 0.0000 0.0000 0.0000 5.3188 0.0000 0.0000 0.0000 5.3718" Properties=species:S:1:pos:R:3 pbc="T T T"
Tl 0.0000 0.0000 0.0000
As 2.6594 0.0000 0.0000
Br 0.0000 0.0000 2.6859
Pt 2.6594 2.6594 2.6859
As 0.0000 2.6594 0.0000
```

space group	No. 123
ΔE_f (raw)	1.3679	eV/atom
E above lowest polymorph	1234	meV per atom

---

8.
A plane-wave DFT calculation with PBE-GGA was carried out for a geometry-optimized TlAsPt2Br structure.

The structure in extended XYZ format:
```
5
Lattice="-4.1215 -1.2216 1.9034 2.2870 -5.3084 1.5452 1.3732 1.7920 4.1237" Properties=species:S:1:pos:R:3 pbc="T T T"
Br 1.1435 -2.6542 0.7726
Pt -2.0608 -0.6108 0.9517
Tl -0.2306 -2.3690 3.7862
As 0.0000 0.0000 0.0000
Pt 0.6866 0.8960 2.0618
```

space group	No. 123
ΔE_f (raw)	0.1230	eV/atom

---

> What is the ΔE_f (raw) in the fourth record?

0.3394 eV/atom

---

> Which formula does entry 4 have?

TiAsPtBr2

---

Please write out number 8 again, unchanged.
A plane-wave DFT calculation with PBE-GGA was carried out for a geometry-optimized TlAsPt2Br structure.

The structure in extended XYZ format:
```
5
Lattice="-4.1215 -1.2216 1.9034 2.2870 -5.3084 1.5452 1.3732 1.7920 4.1237" Properties=species:S:1:pos:R:3 pbc="T T T"
Br 1.1435 -2.6542 0.7726
Pt -2.0608 -0.6108 0.9517
Tl -0.2306 -2.3690 3.7862
As 0.0000 0.0000 0.0000
Pt 0.6866 0.8960 2.0618
```

space group	No. 123
ΔE_f (raw)	0.1230	eV/atom

---

> Which of these has the lowest ΔE_f (raw)?

TlAsPt2Br